## SmAl2O4 (PBE)

Data for SmAl2O4 after structural relaxation.

Structure (CIF):
```
data_SmAl2O4
_space_group_name_H-M_alt 'C 1 2 1'
_space_group_IT_number 5
_space_group_name_Hall 'C 2y'
_cell_length_a 9.664
_cell_length_b 6.468
_cell_length_c 7.180
_cell_angle_alpha 90.00
_cell_angle_beta 128.34
_cell_angle_gamma 90.00
loop_
_atom_site_label
_atom_site_fract_x
_atom_site_fract_y
_atom_site_fract_z
_atom_site_occupancy
Sm1 0.000 0.000 0.000 1
Sm2 0.000 0.258 0.500 1
Al1 0.066 0.669 0.384 1
Al2 0.213 0.439 0.153 1
O1 0.060 0.924 0.743 1
O2 0.078 0.446 0.842 1
O3 0.192 0.683 0.259 1
O4 0.210 0.218 0.299 1
```

Output
Crystal system: monoclinic
E above lowest polymorph: 0.000 eV per atom

## Ho3Sc2Tl4 (PBE)

Data for Ho3Sc2Tl4 after structural relaxation.

Structure (CIF):
```
data_Ho3Sc2Tl4
_space_group_name_H-M_alt 'I m m m'
_space_group_IT_number 71
_space_group_name_Hall '-I 2 2'
_cell_length_a 5.047
_cell_length_b 6.142
_cell_length_c 15.904
_cell_angle_alpha 90.00
_cell_angle_beta 90.00
_cell_angle_gamma 90.00
loop_
_atom_site_label
_atom_site_fract_x
_atom_site_fract_y
_atom_site_fract_z
_atom_site_occupancy
Ho1 0.000 0.000 0.000 1
Ho2 0.000 0.500 0.116 1
Sc1 0.000 0.500 0.339 1
Tl1 0.000 0.000 0.249 1
Tl2 0.000 0.232 0.500 1
```

Output
D(E_F): 15.4 states/eV/cell
Crystal system: orthorhombic
Formation enthalpy at 0 K: -1.7 eV per formula unit
E above lowest polymorph: 0.000 eV per atom

Please write out number 1 again, unchanged.
## SmAl2O4 (PBE)

Data for SmAl2O4 after structural relaxation.

Structure (CIF):
```
data_SmAl2O4
_space_group_name_H-M_alt 'C 1 2 1'
_space_group_IT_number 5
_space_group_name_Hall 'C 2y'
_cell_length_a 9.664
_cell_length_b 6.468
_cell_length_c 7.180
_cell_angle_alpha 90.00
_cell_angle_beta 128.34
_cell_angle_gamma 90.00
loop_
_atom_site_label
_atom_site_fract_x
_atom_site_fract_y
_atom_site_fract_z
_atom_site_occupancy
Sm1 0.000 0.000 0.000 1
Sm2 0.000 0.258 0.500 1
Al1 0.066 0.669 0.384 1
Al2 0.213 0.439 0.153 1
O1 0.060 0.924 0.743 1
O2 0.078 0.446 0.842 1
O3 0.192 0.683 0.259 1
O4 0.210 0.218 0.299 1
```

Output
Crystal system: monoclinic
E above lowest polymorph: 0.000 eV per atom